Record 1
Here is a geometry-optimized TlBiPb2 structure from Alexandria via LeMat-Bulk. Energies are from GGA-PBE.

Results
formation enthalpy at 0 K = 0.229 eV per atom
symmetry = No. 122

Unit cell a=7.0901 b=7.0901 c=8.5942 alpha=65.64 beta=65.64 gamma=90.00
Closest atoms and distances in Å follow each position.
Fractional coordinates of all 8 atoms:
Pb 0.6194 0.1250 0.2500  2 Tl 3.03, 2 Bi 3.08
Pb 0.1306 0.6250 0.2500  2 Tl 3.03, 2 Bi 3.08
Pb 0.3750 0.3806 0.7500  2 Tl 3.03, 2 Bi 3.08
Pb 0.8750 0.8694 0.7500  2 Tl 3.03, 2 Bi 3.08
Tl 0.5000 0.5000 0.0000  4 Pb 3.03
Tl 0.2500 0.7500 0.5000  4 Pb 3.03
Bi 0.0000 0.0000 0.0000  4 Pb 3.08
Bi 0.7500 0.2500 0.5000  4 Pb 3.08

=====

Record 2
Here is a geometry-optimized Al3As structure from Alexandria via LeMat-Bulk. Energies are from GGA-PBE.

Results
formation enthalpy at 0 K = 0.077 eV per atom
symmetry = No. 12

Unit cell a=5.5825 b=5.5825 c=4.9642 alpha=68.97 beta=68.97 gamma=29.29
Closest atoms and distances in Å follow each position.
Fractional coordinates of all 4 atoms:
As 0.0000 0.0000 0.0000  2 As 2.82, 8 Al 2.86-2.88
Al 0.5000 0.5000 0.5000  6 Al 2.82-2.90, 4 As 2.86
Al 0.7488 0.7488 0.7510  8 Al 2.82-2.90, 2 As 2.88
Al 0.2512 0.2512 0.2490  8 Al 2.82-2.90, 2 As 2.88

=====

Record 3
Here is a geometry-optimized Ba2CaCu2O6 structure from Alexandria via LeMat-Bulk. Energies are from GGA-PBE.

Results
formation energy without anion corrections = -1.633 eV per atom
symmetry = No. 166

Unit cell a=5.9979 b=5.9979 c=6.9462 alpha=64.42 beta=64.42 gamma=60.00
Closest atoms and distances in Å follow each position.
Fractional coordinates of all 11 atoms:
Ba 0.7866 0.7866 0.6402  9 O 2.79-3.05
Ba 0.2134 0.2134 0.3598  9 O 2.79-3.05
Ca 0.0000 0.0000 0.0000  6 O 2.33
Cu 0.4227 0.4227 0.7319  3 O 1.79
Cu 0.5773 0.5773 0.2681  3 O 1.79
O 0.7492 0.7492 0.2692  1 Cu 1.79
O 0.2325 0.7492 0.2692  1 Cu 1.79
O 0.7492 0.2325 0.2692  1 Cu 1.79
O 0.2508 0.7675 0.7308  1 Cu 1.79
O 0.7675 0.2508 0.7308  1 Cu 1.79
O 0.2508 0.2508 0.7308  1 Cu 1.79

=====

Record 4
Here is a geometry-optimized SrPd3N structure from Alexandria via LeMat-Bulk. Energies are from GGA-PBE.

Results
formation energy without anion corrections = 1.958 eV per atom
symmetry = No. 221

Unit cell a=5.3789 b=5.3789 c=5.3789 alpha=90.00 beta=90.00 gamma=90.00
Closest atoms and distances in Å follow each position.
Fractional coordinates of all 5 atoms:
Sr 0.0000 0.0000 0.0000  6 Pd 2.69
Pd 0.0000 0.5000 0.0000  2 Sr 2.69
Pd 0.0000 0.0000 0.5000  2 Sr 2.69
Pd 0.5000 0.0000 0.0000  2 Sr 2.69
N 0.5000 0.5000 0.5000  12 Pd 3.80

=====

E_tot
In order: -25.493; -15.568; -61.757; -15.797
Unit: eV for the cell shown